# Dy4ErLu2Te2Ir2

Dy4ErLu2Te2Ir2 after structural relaxation (PBE, the Open Quantum Materials Database).

* electronic total energy: -6.01 eV/atom
* space group: Imm2

Lattice parameters (Å, degrees): 9.347 9.347 9.347 155.77 65.81 119.86
Sites, in units of the cell vectors:
Lu  0.132  0.265  0.867
Dy  0.062  0.416  0.646
Te  0.024  0.024  0.000
Dy  0.370  0.054  0.316
Dy  0.737  0.054  0.684
Te  0.415  0.915  0.500
Lu  0.398  0.265  0.133
Er  0.682  0.682  0.000
Ir  0.994  0.753  0.241
Ir  0.512  0.753  0.759
Dy  0.769  0.416  0.354

---

# Dy3Er2Lu2Te2Ir2

Dy3Er2Lu2Te2Ir2 after structural relaxation (PBE, the Open Quantum Materials Database).

* electronic total energy: -6.01 eV/atom
* space group: Imm2

Lattice parameters (Å, degrees): 9.327 9.327 9.327 155.80 66.29 119.34
Sites, in units of the cell vectors:
Dy  0.684  0.684  0.000
Er  0.396  0.264  0.132
Ir  0.518  0.756  0.763
Lu  0.060  0.413  0.647
Te  0.019  0.019  0.000
Dy  0.739  0.054  0.685
Te  0.417  0.917  0.500
Dy  0.369  0.054  0.315
Lu  0.766  0.413  0.353
Ir  0.993  0.756  0.237
Er  0.133  0.264  0.868

---

# Dy2ErLu4Te2Ir2

Dy2ErLu4Te2Ir2 after structural relaxation (PBE, the Open Quantum Materials Database).

* electronic total energy: -6.01 eV/atom
* space group: Imm2

Lattice parameters (Å, degrees): 9.276 9.276 9.276 155.71 66.31 119.36
Sites, in units of the cell vectors:
Lu  0.060  0.413  0.647
Te  0.017  0.017  0.000
Ir  0.519  0.755  0.764
Dy  0.133  0.265  0.868
Dy  0.396  0.265  0.132
Ir  0.991  0.755  0.236
Lu  0.740  0.055  0.686
Te  0.421  0.921  0.500
Lu  0.369  0.055  0.314
Lu  0.765  0.413  0.353
Er  0.683  0.683  0.000

---

# DyEr4Lu2Te2Ir2

DyEr4Lu2Te2Ir2 after structural relaxation (PBE, the Open Quantum Materials Database).

* electronic total energy: -6.03 eV/atom
* space group: Imm2

Lattice parameters (Å, degrees): 9.290 9.290 9.290 155.66 66.23 119.47
Sites, in units of the cell vectors:
Ir  0.991  0.753  0.238
Er  0.767  0.414  0.353
Er  0.133  0.265  0.868
Lu  0.740  0.054  0.685
Er  0.062  0.414  0.647
Ir  0.515  0.753  0.762
Te  0.419  0.919  0.500
Er  0.398  0.265  0.132
Lu  0.369  0.054  0.315
Te  0.020  0.020  0.000
Dy  0.682  0.682  0.000

---

# DyEr2Lu4Te2Ir2

DyEr2Lu4Te2Ir2 after structural relaxation (PBE, the Open Quantum Materials Database).

* electronic total energy: -6.01 eV/atom
* space group: Imm2

Lattice parameters (Å, degrees): 9.269 9.269 9.269 155.74 66.33 119.33
Sites, in units of the cell vectors:
Ir  0.993  0.755  0.238
Te  0.021  0.021  0.000
Lu  0.061  0.414  0.647
Er  0.369  0.054  0.315
Lu  0.397  0.265  0.132
Er  0.739  0.054  0.685
Ir  0.517  0.755  0.762
Lu  0.767  0.414  0.353
Lu  0.132  0.265  0.868
Te  0.417  0.917  0.500
Dy  0.683  0.683  0.000

---

# DyEr2Lu4Te2Ir2

DyEr2Lu4Te2Ir2 after structural relaxation (PBE, the Open Quantum Materials Database).

* electronic total energy: -6.02 eV/atom
* space group: Imm2

Lattice parameters (Å, degrees): 9.250 9.250 9.250 155.59 66.06 119.68
Sites, in units of the cell vectors:
Er  0.064  0.416  0.648
Er  0.768  0.416  0.352
Dy  0.682  0.682  0.000
Ir  0.992  0.752  0.239
Ir  0.513  0.752  0.761
Lu  0.133  0.266  0.867
Te  0.416  0.916  0.500
Lu  0.738  0.053  0.685
Te  0.022  0.022  0.000
Lu  0.368  0.053  0.315
Lu  0.399  0.266  0.133

---

# DyEr2Lu4Te2Ir2

DyEr2Lu4Te2Ir2 after structural relaxation (PBE, the Open Quantum Materials Database).

* electronic total energy: -6.02 eV/atom
* space group: Imm2

Lattice parameters (Å, degrees): 9.266 9.266 9.266 155.70 66.29 119.38
Sites, in units of the cell vectors:
Ir  0.992  0.755  0.237
Lu  0.369  0.054  0.314
Ir  0.517  0.755  0.763
Er  0.397  0.265  0.132
Lu  0.766  0.413  0.352
Te  0.019  0.019  0.000
Dy  0.683  0.683  0.000
Lu  0.061  0.413  0.648
Er  0.133  0.265  0.868
Lu  0.740  0.054  0.686
Te  0.418  0.918  0.500

---

# Dy3Er2Lu2Te2Ir2

Dy3Er2Lu2Te2Ir2 after structural relaxation (PBE, the Open Quantum Materials Database).

* electronic total energy: -6.03 eV/atom
* space group: Imm2

Lattice parameters (Å, degrees): 9.304 9.304 9.304 155.62 66.08 119.65
Sites, in units of the cell vectors:
Ir  0.989  0.751  0.239
Lu  0.739  0.054  0.685
Te  0.021  0.021  0.000
Dy  0.064  0.416  0.648
Ir  0.512  0.751  0.761
Te  0.418  0.918  0.500
Er  0.134  0.266  0.868
Lu  0.369  0.054  0.315
Dy  0.681  0.681  0.000
Dy  0.768  0.416  0.352
Er  0.399  0.266  0.132

---

# Dy4ErLu2Te2Ir2

Dy4ErLu2Te2Ir2 after structural relaxation (PBE, the Open Quantum Materials Database).

* electronic total energy: -6.00 eV/atom
* space group: Imm2

Lattice parameters (Å, degrees): 9.345 9.345 9.345 155.86 66.48 119.11
Sites, in units of the cell vectors:
Dy  0.395  0.263  0.131
Dy  0.370  0.055  0.315
Dy  0.132  0.263  0.869
Ir  0.521  0.757  0.764
Dy  0.739  0.055  0.685
Er  0.685  0.685  0.000
Lu  0.765  0.412  0.353
Lu  0.058  0.412  0.647
Te  0.016  0.016  0.000
Ir  0.993  0.757  0.236
Te  0.420  0.920  0.500

---

# Dy3Er2Lu2Te2Ir2

Dy3Er2Lu2Te2Ir2 after structural relaxation (PBE, the Open Quantum Materials Database).

* electronic total energy: -6.02 eV/atom
* space group: Imm2

Lattice parameters (Å, degrees): 9.329 9.329 9.329 155.71 65.70 120.00
Sites, in units of the cell vectors:
Dy  0.269  0.416  0.853
Dy  0.563  0.416  0.147
Er  0.869  0.053  0.816
Ir  0.492  0.752  0.740
Te  0.523  0.023  0.500
Lu  0.899  0.266  0.633
Dy  0.181  0.681  0.500
Ir  0.012  0.752  0.260
Te  0.915  0.915  0.000
Er  0.237  0.053  0.184
Lu  0.633  0.266  0.367

---

# Dy2ErLu4Te2Ir2

Dy2ErLu4Te2Ir2 after structural relaxation (PBE, the Open Quantum Materials Database).

* electronic total energy: -6.02 eV/atom
* space group: Imm2

Lattice parameters (Å, degrees): 9.269 9.269 9.269 155.58 65.94 119.81
Sites, in units of the cell vectors:
Lu  0.369  0.053  0.315
Lu  0.134  0.267  0.867
Dy  0.064  0.417  0.647
Er  0.681  0.681  0.000
Lu  0.738  0.053  0.685
Ir  0.991  0.751  0.240
Te  0.023  0.023  0.000
Dy  0.769  0.417  0.353
Ir  0.511  0.751  0.760
Te  0.416  0.916  0.500
Lu  0.400  0.267  0.133

---

# DyEr4Lu2Te2Ir2

DyEr4Lu2Te2Ir2 after structural relaxation (PBE, the Open Quantum Materials Database).

* electronic total energy: -6.02 eV/atom
* space group: Imm2

Lattice parameters (Å, degrees): 9.301 9.301 9.301 155.72 65.92 119.76
Sites, in units of the cell vectors:
Er  0.369  0.053  0.315
Lu  0.398  0.265  0.133
Te  0.022  0.022  0.000
Te  0.415  0.915  0.500
Dy  0.682  0.682  0.000
Lu  0.133  0.265  0.867
Er  0.062  0.415  0.647
Er  0.768  0.415  0.353
Er  0.738  0.053  0.685
Ir  0.993  0.754  0.239
Ir  0.514  0.754  0.761

---

# Dy3Er2Lu2Te2Ir2

Dy3Er2Lu2Te2Ir2 after structural relaxation (PBE, the Open Quantum Materials Database).

* electronic total energy: -6.01 eV/atom
* space group: Imm2

Lattice parameters (Å, degrees): 9.336 9.336 9.336 155.77 65.89 119.77
Sites, in units of the cell vectors:
Te  0.414  0.914  0.500
Ir  0.994  0.754  0.240
Lu  0.397  0.265  0.133
Dy  0.370  0.054  0.316
Er  0.063  0.416  0.647
Lu  0.132  0.265  0.867
Dy  0.682  0.682  0.000
Te  0.022  0.022  0.000
Ir  0.514  0.754  0.760
Dy  0.738  0.054  0.684
Er  0.769  0.416  0.353

---

# DyEr4Lu2Te2Ir2

DyEr4Lu2Te2Ir2 after structural relaxation (PBE, the Open Quantum Materials Database).

* electronic total energy: -6.01 eV/atom
* space group: Imm2

Lattice parameters (Å, degrees): 9.300 9.300 9.300 155.76 66.29 119.36
Sites, in units of the cell vectors:
Te  0.019  0.019  0.000
Lu  0.766  0.413  0.353
Ir  0.518  0.755  0.763
Lu  0.060  0.413  0.647
Te  0.418  0.918  0.500
Er  0.739  0.054  0.685
Dy  0.683  0.683  0.000
Er  0.133  0.265  0.868
Er  0.369  0.054  0.315
Ir  0.993  0.755  0.237
Er  0.396  0.265  0.132

---

# Dy3Er2Lu2Te2Ir2

Dy3Er2Lu2Te2Ir2 after structural relaxation (PBE, the Open Quantum Materials Database).

* electronic total energy: -6.03 eV/atom
* space group: Imm2

Lattice parameters (Å, degrees): 9.311 9.311 9.311 155.66 66.34 119.35
Sites, in units of the cell vectors:
Te  0.921  0.921  0.000
Er  0.562  0.414  0.148
Ir  0.016  0.753  0.263
Lu  0.869  0.055  0.814
Dy  0.897  0.265  0.632
Dy  0.183  0.683  0.500
Er  0.266  0.414  0.852
Te  0.517  0.017  0.500
Ir  0.490  0.753  0.737
Lu  0.240  0.055  0.186
Dy  0.634  0.265  0.368

---

# Dy4ErLu2Te2Ir2

Dy4ErLu2Te2Ir2 after structural relaxation (PBE, the Open Quantum Materials Database).

* electronic total energy: -6.03 eV/atom
* space group: Imm2

Lattice parameters (Å, degrees): 9.318 9.318 9.318 155.63 66.31 119.40
Sites, in units of the cell vectors:
Lu  0.370  0.055  0.315
Te  0.422  0.922  0.500
Er  0.682  0.682  0.000
Dy  0.062  0.415  0.647
Te  0.018  0.018  0.000
Dy  0.768  0.415  0.353
Dy  0.134  0.266  0.868
Lu  0.740  0.055  0.685
Ir  0.514  0.751  0.763
Ir  0.989  0.751  0.237
Dy  0.397  0.266  0.132

---

# Dy2ErLu4Te2Ir2

Dy2ErLu4Te2Ir2 after structural relaxation (PBE, the Open Quantum Materials Database).

* electronic total energy: -5.99 eV/atom
* space group: Imm2

Lattice parameters (Å, degrees): 9.285 9.285 9.285 155.77 66.39 119.25
Sites, in units of the cell vectors:
Er  0.683  0.683  0.000
Te  0.416  0.916  0.500
Dy  0.369  0.054  0.315
Lu  0.397  0.264  0.132
Te  0.021  0.021  0.000
Ir  0.517  0.756  0.762
Ir  0.994  0.756  0.238
Lu  0.132  0.264  0.868
Dy  0.738  0.054  0.685
Lu  0.767  0.413  0.353
Lu  0.060  0.413  0.647

---

# Dy3Er2Lu2Te2Ir2

Dy3Er2Lu2Te2Ir2 after structural relaxation (PBE, the Open Quantum Materials Database).

* electronic total energy: -6.02 eV/atom
* space group: Imm2

Lattice parameters (Å, degrees): 9.321 9.321 9.321 155.79 66.41 119.22
Sites, in units of the cell vectors:
Lu  0.765  0.412  0.352
Ir  0.520  0.756  0.764
Te  0.420  0.920  0.500
Lu  0.060  0.412  0.648
Er  0.369  0.054  0.315
Te  0.017  0.017  0.000
Dy  0.684  0.684  0.000
Dy  0.133  0.264  0.869
Dy  0.395  0.264  0.131
Er  0.740  0.054  0.685
Ir  0.992  0.756  0.236

---

# Dy2ErMg3Ir3

Dy2ErMg3Ir3 after structural relaxation (PBE, the Open Quantum Materials Database).

* electronic total energy: -5.69 eV/atom
* space group: Amm2

Lattice parameters (Å, degrees): 4.050 7.231 7.231 119.95 90.00 90.00
Sites, in units of the cell vectors:
Dy  0.000  0.000  0.591
Mg  0.500  0.001  0.246
Mg  0.500  0.246  0.001
Ir  0.000  0.001  0.001
Ir  0.500  0.665  0.334
Dy  0.000  0.591  0.000
Er  0.000  0.408  0.408
Mg  0.500  0.754  0.754
Ir  0.500  0.334  0.665

---

# Dy2ErMg3Ir2Pd

Dy2ErMg3Ir2Pd after structural relaxation (PBE, the Open Quantum Materials Database).

* electronic total energy: -5.29 eV/atom
* space group: Amm2

Lattice parameters (Å, degrees): 4.009 7.331 7.331 119.92 90.00 90.00
Sites, in units of the cell vectors:
Ir  0.500  0.665  0.334
Pd  0.000  0.001  0.001
Mg  0.500  0.750  0.750
Ir  0.500  0.334  0.665
Dy  0.000  0.584  0.000
Er  0.000  0.416  0.416
Mg  0.500  0.249  0.001
Dy  0.000  0.000  0.584
Mg  0.500  0.001  0.249

---

# DyEr2Mg3Ir2Pt

DyEr2Mg3Ir2Pt after structural relaxation (PBE, the Open Quantum Materials Database).

* electronic total energy: -5.48 eV/atom
* space group: Amm2

Lattice parameters (Å, degrees): 4.025 7.290 7.290 120.00 90.00 90.00
Sites, in units of the cell vectors:
Ir  0.500  0.667  0.333
Er  0.000  0.587  0.000
Er  0.000  0.000  0.587
Dy  0.000  0.413  0.413
Pt  0.000  0.000  0.000
Mg  0.500  0.000  0.247
Mg  0.500  0.753  0.753
Mg  0.500  0.247  0.000
Ir  0.500  0.333  0.667

---

# Dy2ErNiIr2Pb3

Dy2ErNiIr2Pb3 after structural relaxation (PBE, the Open Quantum Materials Database).

* electronic total energy: -5.90 eV/atom
* space group: Amm2

Lattice parameters (Å, degrees): 3.759 7.731 7.731 119.88 90.00 90.00
Sites, in units of the cell vectors:
Ni  0.000  0.999  0.999
Ir  0.500  0.335  0.666
Pb  0.500  0.742  0.000
Pb  0.500  0.000  0.742
Ir  0.500  0.666  0.335
Pb  0.500  0.258  0.258
Dy  0.000  0.000  0.409
Er  0.000  0.591  0.591
Dy  0.000  0.409  0.000